DFT (PBE) results for a relaxed structure of BaTa2Ru.

a b c (Å): 3.3173 3.3173 8.3172
angles (deg): 90.00 90.00 90.00
Closest atoms and distances in Å follow each position.
Space group P4/mmm (No. 123)
Inequivalent atoms, fractional coordinates:
1 Ba 0.0000 0.0000 0.0000  4 Ba 3.32, 8 Ta 3.65
2 Ta 0.5000 0.5000 0.3357  4 Ru 2.71, 1 Ta 2.73
3 Ru 0.0000 0.0000 0.5000  8 Ta 2.71

## Properties
E above lowest polymorph, meV per atom: 166
Electronic total energy, eV/atom: -8.2057
DFT formation energy, eV per atom: 0.5202

=====

DFT (PBE) results for a relaxed structure of La6TbY4.

a b c (Å): 5.9319 9.9154 26.4045
angles (deg): 90.00 90.00 90.00
Closest atoms and distances in Å follow each position.
Space group Cmcm (No. 63)
Inequivalent atoms, fractional coordinates:
1 La 0.0000 0.0000 0.0000  8 Y 3.32-3.62
2 La 0.0000 0.0402 0.2500  2 Y 3.30, 3 Tb 3.36-3.37, 2 La 3.68
3 La 0.0000 0.3097 0.5991  7 Y 3.43-3.84
4 La 0.0000 0.3655 0.1828  5 La 3.55-3.91, 4 Y 3.63-3.71, 3 Tb 3.77-3.82
5 Tb 0.0000 0.2991 0.7500  3 La 3.36-3.37
6 Y 0.0000 0.0301 0.1252  6 La 3.30-3.66
7 Y 0.0000 0.3448 0.0456  8 La 3.55-3.84, 2 Y 3.76-3.91

## Properties
Electronic total energy, eV/atom: -5.3568
DFT formation energy, eV per atom: 0.1024

=====

DFT (PBE) results for a relaxed structure of PmEr2Bi.

a b c (Å): 4.6479 22.9660 4.6290
angles (deg): 90.00 90.00 90.00
Closest atoms and distances in Å follow each position.
Space group Cmcm (No. 63)
Inequivalent atoms, fractional coordinates:
1 Pm 0.0000 0.1933 0.2500  5 Bi 3.29-3.35
2 Er 0.0000 0.0573 0.7500  8 Er 3.28-3.52, 2 Bi 3.37
3 Er 0.0000 0.4420 0.7500  8 Er 3.28-3.53, 2 Bi 3.35
4 Bi 0.0000 0.3365 0.2500  5 Pm 3.29-3.35, 4 Er 3.35-3.37

## Properties
E above lowest polymorph, meV per atom: 0
Electronic total energy, eV/atom: -4.8970
DFT formation energy, eV per atom: -0.4577

=====

DFT (PBE) results for a relaxed structure of Ba2NaCd4Pb3.

a b c (Å): 4.9710 4.9710 13.0501
angles (deg): 90.00 90.00 90.00
Closest atoms and distances in Å follow each position.
Space group P-4m2 (No. 115)
Inequivalent atoms, fractional coordinates:
1 Ba 0.0000 0.5000 0.2359  4 Pb 3.74, 8 Cd 3.89-3.96
2 Na 0.0000 0.0000 0.5000  4 Cd 3.06
3 Cd 0.0000 0.0000 0.0000  4 Pb 3.07
4 Cd 0.0000 0.5000 0.6363  3 Pb 2.95-3.06, 2 Na 3.06
5 Cd 0.5000 0.5000 0.0000  4 Pb 3.07
6 Pb 0.0000 0.5000 0.8621  5 Cd 2.95-3.07
7 Pb 0.5000 0.5000 0.5000  4 Cd 3.06

## Properties
Electronic total energy, eV/atom: -2.2894
DFT formation energy, eV per atom: -0.2944

=====

DFT (PBE) results for a relaxed structure of NiPb3S.

a b c (Å): 5.1114 5.1114 5.1114
angles (deg): 90.00 90.00 90.00
Closest atoms and distances in Å follow each position.
Space group Pm-3m (No. 221)
Inequivalent atoms, fractional coordinates:
1 Ni 0.0000 0.0000 0.0000  6 Pb 2.56
2 Pb 0.0000 0.0000 0.5000  2 Ni 2.56
3 S 0.5000 0.5000 0.5000  12 Pb 3.61

## Properties
E_form (uncorrected), eV per atom: 0.11
E above lowest polymorph, meV per atom: 0
Electronic total energy, eV/atom: -4.0986

=====

DFT (PBE) results for a relaxed structure of Rb2AgSeO4.

a b c (Å): 6.1745 12.1832 21.4839
angles (deg): 90.00 90.00 90.00
Closest atoms and distances in Å follow each position.
Space group Fddd (No. 70, origin choice 2)
Inequivalent atoms, fractional coordinates:
1 Rb 0.1250 0.1250 0.3069  4 O 3.18-3.30
2 Ag 0.1250 0.1250 0.1250  4 O 2.50
3 Se 0.1250 0.1250 0.6250  4 O 1.72
4 O 0.0389 0.2906 0.8315  1 Se 1.72

## Properties
E_form (uncorrected), eV per atom: -0.80
Electronic total energy, eV/atom: -4.3157

=====

DFT (PBE) results for a relaxed structure of NaPmSbRh.

a b c (Å): 6.9227 6.9227 6.9227
angles (deg): 90.00 90.00 90.00
Closest atoms and distances in Å follow each position.
Space group F-43m (No. 216)
Inequivalent atoms, fractional coordinates:
1 Na 0.0000 0.0000 0.0000  4 Sb 3.00, 4 Pm 3.00
2 Pm 0.2500 0.2500 0.7500  4 Na 3.00, 4 Rh 3.00
3 Sb 0.2500 0.2500 0.2500  4 Na 3.00, 4 Rh 3.00
4 Rh 0.0000 0.0000 0.5000  4 Sb 3.00, 4 Pm 3.00

## Properties
E_form (uncorrected), eV per atom: -0.60
Electronic total energy, eV/atom: -4.9812

=====

DFT (PBE) results for a relaxed structure of Pr2SiN.

a b c (Å): 3.7664 3.7664 21.7641
angles (deg): 90.00 90.00 120.00
Closest atoms and distances in Å follow each position.
Space group R-3m (No. 166, hexagonal axes)
Inequivalent atoms, fractional coordinates:
1 Pr 0.0000 0.0000 0.2334  3 N 2.61
2 Si 0.0000 0.0000 0.0000  6 Pr 3.08
3 N 0.0000 0.0000 0.5000  6 Pr 2.61

## Properties
E_form (uncorrected), eV per atom: -0.80
Electronic total energy, eV/atom: -6.6261

=====

DFT (PBE) results for a relaxed structure of TiRePt2.

a b c (Å): 3.8588 3.8588 4.0647
angles (deg): 90.00 90.00 90.00
Closest atoms and distances in Å follow each position.
Space group P4/mmm (No. 123)
Inequivalent atoms, fractional coordinates:
1 Ti 0.0000 0.0000 0.0000  4 Re 2.73, 8 Pt 2.80
2 Re 0.5000 0.5000 0.0000  4 Ti 2.73, 8 Pt 2.80
3 Pt 0.0000 0.5000 0.5000  4 Pt 2.73, 4 Re 2.80, 4 Ti 2.80

## Properties
Electronic total energy, eV/atom: -8.6552
DFT formation energy, eV per atom: -0.5490

=====

DFT (PBE) results for a relaxed structure of Pm2Pr2Pt3.

a b c (Å): 4.2712 7.2474 7.3277
angles (deg): 78.95 89.93 72.90
Closest atoms and distances in Å follow each position.
Space group P-1 (No. 2)
Inequivalent atoms, fractional coordinates:
1 Pm 0.1404 0.2213 0.3585  4 Pt 2.87-2.93
2 Pr 0.3748 0.7510 0.1121  5 Pt 2.94-3.01
3 Pt 0.0000 0.5000 0.0000  2 Pm 2.93, 4 Pr 2.97
4 Pt 0.2423 0.0139 0.7431  3 Pm 2.87-2.90, 3 Pr 2.94-3.01

## Properties
E above lowest polymorph, meV per atom: 46
Electronic total energy, eV/atom: -6.2357
DFT formation energy, eV per atom: -0.9239

=====

DFT (PBE) results for a relaxed structure of SmErPu.

a b c (Å): 3.5157 3.5157 14.8388
angles (deg): 90.00 90.00 90.00
Closest atoms and distances in Å follow each position.
Space group I4mm (No. 107)
Inequivalent atoms, fractional coordinates:
1 Sm 0.0000 0.0000 0.0000  4 Pu 3.50, 4 Sm 3.52, 4 Er 3.57
2 Er 0.0000 0.0000 0.3276  4 Pu 3.45, 4 Er 3.52, 4 Sm 3.57
3 Pu 0.0000 0.0000 0.6661  4 Er 3.45, 4 Sm 3.50, 4 Pu 3.52

## Properties
E above lowest polymorph, meV per atom: 0
Electronic total energy, eV/atom: -7.7554
DFT formation energy, eV per atom: 0.1159

=====

DFT (PBE) results for a relaxed structure of CdGeTePb2.

a b c (Å): 6.0560 6.0560 5.3755
angles (deg): 90.00 90.00 90.00
Closest atoms and distances in Å follow each position.
Space group P4/mmm (No. 123)
Inequivalent atoms, fractional coordinates:
1 Cd 0.0000 0.0000 0.0000  2 Te 2.69
2 Ge 0.5000 0.5000 0.0000  8 Pb 4.05, 4 Cd 4.28
3 Te 0.0000 0.0000 0.5000  2 Cd 2.69
4 Pb 0.0000 0.5000 0.5000  2 Te 3.03

## Properties
E_form (uncorrected), eV per atom: 0.67
Electronic total energy, eV/atom: -2.5496

=====

DFT (PBE) results for a relaxed structure of PuScInSn.

a b c (Å): 7.3546 7.3546 7.3546
angles (deg): 90.00 90.00 90.00
Closest atoms and distances in Å follow each position.
Space group F-43m (No. 216)
Inequivalent atoms, fractional coordinates:
1 Pu 0.0000 0.0000 0.0000  4 In 3.18, 4 Sn 3.18
2 Sc 0.0000 0.0000 0.5000  4 In 3.18, 4 Sn 3.18
3 In 0.2500 0.2500 0.7500  4 Sc 3.18, 4 Pu 3.18
4 Sn 0.2500 0.2500 0.2500  4 Sc 3.18, 4 Pu 3.18

## Properties
Electronic total energy, eV/atom: -7.1737
DFT formation energy, eV per atom: -0.3225

=====

DFT (PBE) results for a relaxed structure of LaZn2Tc.

a b c (Å): 3.0580 4.0767 6.4343
angles (deg): 90.00 94.22 90.00
Closest atoms and distances in Å follow each position.
Space group Pm (No. 6)
Inequivalent atoms, fractional coordinates:
1 La 0.0000 0.0000 0.0000  5 Zn 2.98-3.33, 2 Tc 2.99, 2 La 3.06
2 Zn 0.3832 0.0000 0.4397  2 Zn 2.54, 4 Tc 2.61-2.69
3 Zn 0.4226 0.5000 0.6752  2 Zn 2.54, 2 Tc 2.67-2.76
4 Tc 0.8438 0.5000 0.3257  6 Zn 2.61-2.76

## Properties
E above lowest polymorph, meV per atom: 116
Electronic total energy, eV/atom: -4.3521
DFT formation energy, eV per atom: 0.1082

=====

DFT (PBE) results for a relaxed structure of MgTaN2F.

a b c (Å): 3.9531 3.9531 3.4181
angles (deg): 90.00 90.00 90.00
Closest atoms and distances in Å follow each position.
Space group P4/mmm (No. 123)
Inequivalent atoms, fractional coordinates:
1 Mg 0.0000 0.0000 0.0000  2 F 1.71
2 Ta 0.5000 0.5000 0.5000  8 N 2.61, 4 F 2.80
3 N 0.0000 0.5000 0.0000  2 Mg 1.98
4 F 0.0000 0.0000 0.5000  2 Mg 1.71

## Properties
E_form (uncorrected), eV per atom: -0.03
E above lowest polymorph, meV per atom: 911
Electronic total energy, eV/atom: -6.4202

=====

DFT (PBE) results for a relaxed structure of Rb4Ce3ZrTe8.

a b c (Å): 9.1260 9.1260 25.7854
angles (deg): 90.00 90.00 120.00
Closest atoms and distances in Å follow each position.
Space group R-3m (No. 166, hexagonal axes)
Inequivalent atoms, fractional coordinates:
1 Rb 0.0000 0.0000 0.0000  6 Te 3.79
2 Rb 0.0000 0.5000 0.0000  6 Te 3.64
3 Ce 0.0000 0.5000 0.5000  6 Te 3.19-3.20
4 Zr 0.0000 0.0000 0.5000  6 Te 3.03
5 Te 0.0000 0.0000 0.2362  3 Ce 3.19
6 Te 0.0176 0.5088 0.2332  1 Zr 3.03, 2 Ce 3.20

## Properties
E_form (uncorrected), eV per atom: -1.22
Electronic total energy, eV/atom: -4.6810

=====

DFT (PBE) results for a relaxed structure of GaRePd.

a b c (Å): 13.0841 2.8131 4.8735
angles (deg): 90.00 90.00 90.00
Closest atoms and distances in Å follow each position.
Space group Amm2 (No. 38)
Inequivalent atoms, fractional coordinates:
1 Ga 0.1610 0.0000 0.0000  3 Pd 2.65-2.66, 3 Re 2.72-2.73, 6 Ga 2.81
2 Re 0.3279 0.0000 0.6689  3 Ga 2.72-2.73, 3 Pd 2.78, 6 Re 2.81
3 Pd 0.0000 0.0000 0.3309  6 Ga 2.65-2.66, 6 Pd 2.81
4 Pd 0.5000 0.0000 0.0022  6 Re 2.78, 6 Pd 2.81

## Properties
Electronic total energy, eV/atom: -6.9177
DFT formation energy, eV per atom: -0.0285

=====

DFT (PBE) results for a relaxed structure of TbNdDy2Ho6.

a b c (Å): 9.0542 14.9974 9.5248
angles (deg): 90.00 97.25 90.00
Closest atoms and distances in Å follow each position.
Space group C2/c (No. 15)
Inequivalent atoms, fractional coordinates:
1 Tb 0.0000 0.0909 0.2500  8 Ho 3.41-3.81, 2 Dy 3.53
2 Nd 0.0000 0.4750 0.7500  4 Dy 3.37-3.41, 4 Ho 3.56-3.68
3 Dy 0.2503 0.0525 0.9542  6 Ho 3.27-3.57, 2 Nd 3.37-3.41, 1 Tb 3.53
4 Ho 0.0642 0.3130 0.4428  7 Ho 3.38-3.71, 1 Dy 3.50, 1 Nd 3.68
5 Ho 0.0995 0.1084 0.6187  4 Ho 3.20-3.49, 3 Dy 3.27-3.42, 2 Tb 3.41-3.52
6 Ho 0.2066 0.2739 0.8172  3 Ho 3.20-3.55, 2 Dy 3.39-3.57, 1 Tb 3.47, 1 Nd 3.56

## Properties
Electronic total energy, eV/atom: -4.4853
DFT formation energy, eV per atom: 0.1216

=====

DFT (PBE) results for a relaxed structure of ZnGa2Rh4.

a b c (Å): 5.9438 5.9438 5.9497
angles (deg): 90.00 90.00 90.00
Closest atoms and distances in Å follow each position.
Space group I4/mmm (No. 139)
Inequivalent atoms, fractional coordinates:
1 Zn 0.0000 0.0000 0.0000  8 Rh 2.57
2 Ga 0.0000 0.5000 0.0000  8 Rh 2.57
3 Rh 0.2500 0.2500 0.2500  2 Zn 2.57, 4 Ga 2.57

## Properties
Electronic total energy, eV/atom: -5.5857
DFT formation energy, eV per atom: -0.3380

=====

DFT (PBE) results for a relaxed structure of Sr2MgPbCl8.

a b c (Å): 6.4427 8.6103 6.6317
angles (deg): 90.00 90.11 90.00
Closest atoms and distances in Å follow each position.
Space group P2/m (No. 10)
Inequivalent atoms, fractional coordinates:
1 Sr 0.0000 0.2378 0.0000  6 Cl 2.88-2.94
2 Mg 0.5000 0.0000 0.5000  6 Cl 2.56-2.59
3 Pb 0.5000 0.5000 0.5000  6 Cl 2.87-2.96
4 Cl 0.2272 0.5000 0.1575  1 Pb 2.87, 2 Sr 2.88
5 Cl 0.2473 0.0000 0.1955  1 Mg 2.59, 2 Sr 2.90
6 Cl 0.2897 0.2208 0.6593  1 Mg 2.56

## Properties
E_form (uncorrected), eV per atom: -1.96
Electronic total energy, eV/atom: -3.9108